# SrAc6CoIr

An optimized crystal structure of SrAc6CoIr (GGA-PBE, Alexandria via LeMat-Bulk).

abc: 7.375 7.375 9.562
angles: 90.00 90.00 120.00
Atoms (fractional coordinates):
Sr  0.000  0.000  0.000
Ac  0.008  0.349  0.332
Ac  0.008  0.659  0.668
Ac  0.341  0.349  0.668
Ac  0.341  0.992  0.332
Ac  0.651  0.659  0.332
Ac  0.651  0.992  0.668
Co  0.333  0.667  0.500
Ir  0.667  0.333  0.500

- density of states at the Fermi level (states/eV/f.u.) = 9.80
- ΔH_f (0 K) (eV/atom) = -0.03